Record 1
The following is a GGA-PBE calculation of a relaxed SrPr2Rh2 crystal, from Alexandria via LeMat-Bulk.

Summary:
The calculation puts the total magnetic moment at 0.0 μB/f.u. For the formation energy, the calculation gives -0.39 eV per atom. Its polymorph energy (0 for the lowest one) is 0.055 eV per atom. The density of states at the Fermi level comes out at 3.8 states/eV per cell. The symmetry is C2/m, No. 12. As for the density: 6.5 g cm⁻³.

Cell lengths 4.2832, 5.8051, 6.6075 Å; angles 107.35, 108.91, 90.00 degrees
Closest atoms and distances in Å follow each position.
Positions (direct):
1 Rh 0.2990 0.8535 0.5980  4 Pr 2.79-2.98
2 Rh 0.7010 0.1465 0.4020  4 Pr 2.79-2.98
3 Sr 0.0000 0.0000 0.0000  4 Rh 3.21
4 Pr 0.3366 0.3713 0.6732  4 Rh 2.79-2.98
5 Pr 0.6634 0.6287 0.3268  4 Rh 2.79-2.98

=====

Record 2
The following is a GGA-PBE calculation of a relaxed Tl2CdHg4 crystal, from Alexandria via LeMat-Bulk.

Summary:
The calculation puts the total magnetic moment at 0.0 μB/f.u. For the formation energy, the calculation gives 0.02 eV per atom. Its polymorph energy (0 for the lowest one) is 0.000 eV per atom. The density of states at the Fermi level comes out at 7.6 states/eV per cell. The symmetry is Fd-3m, No. 227. As for the density: 10.9 g cm⁻³.

Cell lengths 10.4564, 10.4564, 10.4564 Å; angles 60.00, 60.00, 60.00 degrees
Closest atoms and distances in Å follow each position.
Positions (direct):
1 Tl 0.8448 0.4657 0.8448  9 Hg 3.31-3.41
2 Tl 0.7843 0.4052 0.4052  9 Hg 3.31-3.41
3 Hg 0.0323 0.4677 0.0323  2 Cd 2.95
4 Hg 0.4677 0.4677 0.0323  2 Cd 2.95
5 Tl 0.4052 0.4052 0.7843  9 Hg 3.31-3.41
6 Hg 0.0323 0.4677 0.4677  2 Cd 2.95
7 Hg 0.2177 0.7823 0.2177  2 Cd 2.95
8 Hg 0.7823 0.2177 0.7823  2 Cd 2.95
9 Hg 0.0323 0.0323 0.4677  2 Cd 2.95
10 Tl 0.8448 0.8448 0.8448  9 Hg 3.31-3.41
11 Hg 0.6250 0.6250 0.1250  6 Tl 3.31, 6 Hg 3.50
12 Tl 0.4052 0.7843 0.4052  9 Hg 3.31-3.41
13 Tl 0.4657 0.8448 0.8448  9 Hg 3.31-3.41
14 Hg 0.2177 0.2177 0.7823  2 Cd 2.95
15 Cd 0.1250 0.6250 0.1250  6 Hg 2.95
16 Hg 0.4677 0.0323 0.0323  2 Cd 2.95
17 Hg 0.2177 0.7823 0.7823  2 Cd 2.95
18 Hg 0.4677 0.0323 0.4677  2 Cd 2.95
19 Cd 0.6250 0.1250 0.1250  6 Hg 2.95
20 Hg 0.7823 0.7823 0.2177  2 Cd 2.95
21 Hg 0.7823 0.2177 0.2177  2 Cd 2.95
22 Hg 0.6250 0.1250 0.6250  6 Tl 3.31, 6 Hg 3.50
23 Cd 0.1250 0.1250 0.6250  6 Hg 2.95
24 Tl 0.4052 0.4052 0.4052  9 Hg 3.31-3.41
25 Cd 0.1250 0.1250 0.1250  6 Hg 2.95
26 Hg 0.1250 0.6250 0.6250  6 Tl 3.31, 6 Hg 3.50
27 Hg 0.6250 0.6250 0.6250  6 Tl 3.31, 6 Hg 3.50
28 Tl 0.8448 0.8448 0.4657  9 Hg 3.31-3.41

=====

Record 3
The following is a GGA-PBE calculation of a relaxed SrTbBi crystal, from Alexandria via LeMat-Bulk.

Summary:
The calculation puts the total magnetic moment at 0.0 μB/f.u. For the formation energy, the calculation gives -0.36 eV per atom. The density of states at the Fermi level comes out at 2.1 states/eV per cell. The symmetry is P3m1, No. 156. As for the density: 6.7 g cm⁻³.

Cell lengths 4.7102, 5.2759, 5.2759 Å; angles 120.00, 90.00, 90.00 degrees
Closest atoms and distances in Å follow each position.
Positions (direct):
1 Tb 0.1361 0.0000 0.0000  3 Bi 3.07
2 Bi 0.2177 0.3333 0.6667  3 Tb 3.07
3 Sr 0.6462 0.6667 0.3333  6 Bi 3.65-4.06, 6 Tb 3.82-3.88

=====

Record 4
The following is a GGA-PBE calculation of a relaxed CdSn3As crystal, from Alexandria via LeMat-Bulk.

Summary:
The calculation puts the total magnetic moment at 0.0 μB/f.u. For the formation energy, the calculation gives 0.47 eV per atom. Its polymorph energy (0 for the lowest one) is 0.000 eV per atom. The density of states at the Fermi level comes out at 3.3 states/eV per cell. The symmetry is Pm-3m, No. 221. As for the density: 5.5 g cm⁻³.

Cell lengths 5.4677, 5.4677, 5.4677 Å; angles 90.00, 90.00, 90.00 degrees
Closest atoms and distances in Å follow each position.
Positions (direct):
1 Sn 0.0000 0.5000 0.0000  2 As 2.73
2 Cd 0.5000 0.5000 0.5000  12 Sn 3.87
3 Sn 0.5000 0.0000 0.0000  2 As 2.73
4 As 0.0000 0.0000 0.0000  6 Sn 2.73
5 Sn 0.0000 0.0000 0.5000  2 As 2.73

=====

Record 5
The following is a GGA-PBE calculation of a relaxed RbCd2In8 crystal, from Alexandria via LeMat-Bulk.

Summary:
The calculation puts the total magnetic moment at 0.0 μB/f.u. For the formation energy, the calculation gives 0.13 eV per atom. Its polymorph energy (0 for the lowest one) is 0.097 eV per atom. The density of states at the Fermi level comes out at 8.1 states/eV per cell. The symmetry is P4/mmm, No. 123. As for the density: 4.9 g cm⁻³.

Cell lengths 6.1492, 6.1492, 11.0231 Å; angles 90.00, 90.00, 90.00 degrees
Closest atoms and distances in Å follow each position.
Positions (direct):
1 In 0.7511 0.2489 0.7970  4 In 3.06-3.09, 2 Cd 3.12
2 Rb 0.5000 0.5000 0.5000  8 In 3.94
3 In 0.7511 0.2489 0.2030  4 In 3.06-3.09, 2 Cd 3.12
4 In 0.2489 0.2489 0.2030  4 In 3.06-3.09, 2 Cd 3.12
5 In 0.7511 0.7511 0.7970  4 In 3.06-3.09, 2 Cd 3.12
6 In 0.2489 0.7511 0.7970  4 In 3.06-3.09, 2 Cd 3.12
7 In 0.2489 0.2489 0.7970  4 In 3.06-3.09, 2 Cd 3.12
8 In 0.7511 0.7511 0.2030  4 In 3.06-3.09, 2 Cd 3.12
9 Cd 0.5000 0.0000 0.0000  8 In 3.12
10 Cd 0.0000 0.5000 0.0000  8 In 3.12
11 In 0.2489 0.7511 0.2030  4 In 3.06-3.09, 2 Cd 3.12

=====

Record 6
The following is a GGA-PBE calculation of a relaxed Ce2ThN crystal, from Alexandria via LeMat-Bulk.

Summary:
The calculation puts the total magnetic moment at 2.1 μB/f.u. Its polymorph energy (0 for the lowest one) is 0.422 eV per atom. The density of states at the Fermi level comes out at 9.6 states/eV per cell. For the formation energy (no corrections), the calculation gives -262 meV/atom. The symmetry is P6/mmm, No. 191. As for the density: 9.0 g cm⁻³.

Cell lengths 4.7515, 4.8521, 4.8521 Å; angles 120.00, 90.00, 90.00 degrees
Closest atoms and distances in Å follow each position.
Positions (direct):
1 N 0.0000 0.0000 0.0000  2 Th 2.38
2 Ce 0.0000 0.3333 0.6667  3 Ce 2.80, 3 N 2.80
3 Ce 0.0000 0.6667 0.3333  3 Ce 2.80, 3 N 2.80
4 Th 0.5000 0.0000 0.0000  2 N 2.38